[1]
Compound: PaMnO4
Source: Alexandria
Functional: GGA+U
Structure: optimized geometry

a = 3.996 Å, b = 3.993 Å, c = 5.776 Å
α = 69.79°, β = 69.76°, γ = 59.98°
Fractional positions:
1 O 0.623 0.623 0.131
2 O 0.129 0.128 0.614
3 O 0.377 0.377 0.869
4 Mn 0.500 0.500 0.500
5 Pa 0.000 0.000 0.000
6 O 0.871 0.872 0.386

Computed properties:
Its total energy is -8.73 eV per atom. As for the space group: R-3m.


[2]
Compound: PaMn3Pb4O12
Source: Alexandria
Functional: GGA+U
Structure: optimized geometry

a = 7.014 Å, b = 7.014 Å, c = 7.014 Å
α = 109.47°, β = 109.47°, γ = 109.47°
Fractional positions:
1 Mn 0.500 0.500 0.000
2 O 0.737 0.737 0.000
3 O 0.263 0.000 0.263
4 O 0.750 0.250 0.500
5 O 0.000 0.263 0.263
6 Pb 0.500 0.500 0.500
7 Mn 0.000 0.500 0.500
8 O 0.000 0.737 0.737
9 Pb 0.500 0.000 0.000
10 O 0.750 0.500 0.250
11 Pb 0.000 0.000 0.500
12 O 0.250 0.750 0.500
13 O 0.737 0.000 0.737
14 Mn 0.500 0.000 0.500
15 O 0.500 0.250 0.750
16 O 0.250 0.500 0.750
17 O 0.500 0.750 0.250
18 Pa 0.000 0.000 0.000
19 O 0.263 0.263 0.000
20 Pb 0.000 0.500 0.000

Computed properties:
Its total energy is -6.91 eV per atom. As for the space group: Im-3m.


[3]
Compound: PaMn2PbO8
Source: Alexandria
Functional: GGA+U
Structure: optimized geometry

a = 6.080 Å, b = 6.080 Å, c = 6.080 Å
α = 107.06°, β = 107.06°, γ = 114.41°
Fractional positions:
1 O 0.296 0.128 0.832
2 O 0.385 0.068 0.318
3 O 0.932 0.615 0.682
4 O 0.872 0.704 0.168
5 O 0.296 0.463 0.168
6 Pa 0.000 0.000 0.000
7 O 0.537 0.704 0.832
8 Pb 0.250 0.750 0.500
9 Mn 0.750 0.250 0.500
10 O 0.750 0.068 0.682
11 O 0.932 0.250 0.318
12 Mn 0.500 0.500 0.000

Computed properties:
Its total energy is -7.38 eV per atom. As for the space group: I-4m2.


[4]
Compound: PaMnPd2O8
Source: Alexandria
Functional: GGA+U
Structure: optimized geometry

a = 5.957 Å, b = 5.957 Å, c = 5.957 Å
α = 109.47°, β = 109.47°, γ = 109.48°
Fractional positions:
1 O 0.283 0.100 0.817
2 O 0.967 0.288 0.322
3 Pa 0.000 0.000 0.000
4 Pd 0.750 0.250 0.500
5 O 0.900 0.717 0.183
6 Mn 0.250 0.750 0.500
7 O 0.283 0.466 0.183
8 O 0.355 0.033 0.322
9 O 0.712 0.033 0.678
10 O 0.534 0.717 0.817
11 Pd 0.500 0.500 0.000
12 O 0.967 0.645 0.678

Computed properties:
Its total energy is -6.75 eV per atom. As for the space group: I-4m2.


[5]
Compound: PmPa2MnO8
Source: Alexandria
Functional: GGA+U
Structure: optimized geometry

a = 5.427 Å, b = 5.427 Å, c = 6.654 Å
α = 114.07°, β = 114.07°, γ = 90.00°
Fractional positions:
1 O 0.877 0.926 0.317
2 O 0.440 0.391 0.317
3 O 0.609 0.123 0.683
4 O 0.208 0.116 0.803
5 Pa 0.250 0.750 0.500
6 O 0.313 0.792 0.197
7 Mn 0.750 0.250 0.500
8 Pm 0.000 0.000 0.000
9 O 0.074 0.560 0.683
10 Pa 0.500 0.500 0.000
11 O 0.884 0.405 0.197
12 O 0.595 0.687 0.803

Computed properties:
Its total energy is -9.02 eV per atom. As for the space group: I-4.


[6]
Compound: PmPaMn2O6
Source: Alexandria
Functional: GGA+U
Structure: optimized geometry

a = 5.703 Å, b = 5.703 Å, c = 6.039 Å
α = 61.82°, β = 61.83°, γ = 60.00°
Fractional positions:
1 O 0.133 0.393 0.764
2 Mn 0.022 0.022 0.934
3 O 0.710 0.133 0.764
4 Pm 0.807 0.807 0.579
5 O 0.607 0.227 0.248
6 O 0.393 0.710 0.764
7 O 0.227 0.918 0.248
8 Mn 0.529 0.529 0.413
9 Pa 0.315 0.315 0.054
10 O 0.918 0.607 0.248

Computed properties:
Its total energy is -8.66 eV per atom. As for the space group: R3.


[7]
Compound: Pu2PaMnO8
Source: Alexandria
Functional: GGA+U
Structure: optimized geometry

a = 5.071 Å, b = 5.071 Å, c = 6.895 Å
α = 90.00°, β = 90.00°, γ = 89.70°
Fractional positions:
1 O 0.192 0.808 0.257
2 Pu 0.500 0.500 0.244
3 O 0.686 0.687 0.000
4 O 0.314 0.313 0.000
5 Mn 0.000 0.000 0.000
6 Pu 0.500 0.500 0.756
7 O 0.808 0.192 0.257
8 O 0.192 0.808 0.743
9 Pa 0.000 0.000 0.500
10 O 0.314 0.313 0.500
11 O 0.808 0.192 0.743
12 O 0.686 0.687 0.500

Computed properties:
Its total energy is -10.00 eV per atom. As for the space group: Cmmm.


[8]
Compound: PuPaMnO6
Source: Alexandria
Functional: GGA+U
Structure: optimized geometry

a = 5.835 Å, b = 5.835 Å, c = 8.900 Å
α = 90.00°, β = 90.00°, γ = 120.00°
Fractional positions:
1 Pu 0.333 0.667 0.750
2 O 0.652 0.658 0.634
3 O 0.342 0.994 0.634
4 O 0.348 0.342 0.366
5 Mn 0.000 0.000 0.000
6 Pa 0.667 0.333 0.750
7 Mn 0.000 0.000 0.500
8 O 0.348 0.006 0.134
9 O 0.994 0.652 0.366
10 O 0.652 0.994 0.866
11 O 0.342 0.348 0.866
12 O 0.006 0.658 0.866
13 Pa 0.333 0.667 0.250
14 O 0.994 0.342 0.134
15 O 0.658 0.006 0.366
16 O 0.658 0.652 0.134
17 Pu 0.667 0.333 0.250
18 O 0.006 0.348 0.634

Computed properties:
Its total energy is -9.47 eV per atom. As for the space group: P-31c.


[9]
Compound: Rb3PaMn2O6
Source: Alexandria
Functional: GGA+U
Structure: optimized geometry

a = 6.380 Å, b = 6.380 Å, c = 7.428 Å
α = 90.00°, β = 90.00°, γ = 120.00°
Fractional positions:
1 O 0.842 0.158 0.682
2 Mn 0.333 0.667 0.283
3 O 0.158 0.842 0.318
4 Rb 0.333 0.667 0.713
5 Pa 0.000 0.000 0.500
6 Rb 0.000 0.000 0.000
7 Rb 0.667 0.333 0.287
8 O 0.158 0.315 0.318
9 O 0.685 0.842 0.318
10 Mn 0.667 0.333 0.717
11 O 0.842 0.685 0.682
12 O 0.315 0.158 0.682

Computed properties:
Its total energy is -6.81 eV per atom. As for the space group: P-3m1.


[10]
Compound: Rb2PaMnO6
Source: Alexandria
Functional: GGA+U
Structure: optimized geometry

a = 5.882 Å, b = 5.882 Å, c = 5.882 Å
α = 60.00°, β = 60.00°, γ = 60.00°
Fractional positions:
1 O 0.763 0.237 0.763
2 Pa 0.500 0.500 0.500
3 Rb 0.250 0.250 0.250
4 Mn 0.000 0.000 0.000
5 O 0.763 0.763 0.237
6 O 0.237 0.763 0.763
7 O 0.763 0.237 0.237
8 O 0.237 0.237 0.763
9 O 0.237 0.763 0.237
10 Rb 0.750 0.750 0.750

Computed properties:
Its total energy is -6.95 eV per atom. As for the space group: Fm-3m.


[11]
Compound: Rb3PaMn2O9
Source: Alexandria
Functional: GGA+U
Structure: optimized geometry

a = 5.789 Å, b = 5.789 Å, c = 7.132 Å
α = 90.00°, β = 90.00°, γ = 120.00°
Fractional positions:
1 Rb 0.667 0.333 0.325
2 O 0.175 0.825 0.320
3 Mn 0.333 0.667 0.167
4 O 0.500 0.000 0.000
5 Pa 0.000 0.000 0.500
6 O 0.825 0.175 0.680
7 O 0.649 0.825 0.320
8 O 0.825 0.649 0.680
9 Rb 0.000 0.000 0.000
10 O 0.500 0.500 0.000
11 O 0.000 0.500 0.000
12 Mn 0.667 0.333 0.833
13 O 0.175 0.351 0.320
14 O 0.351 0.175 0.680
15 Rb 0.333 0.667 0.675

Computed properties:
Its total energy is -6.50 eV per atom. As for the space group: P-3m1.


[12]
Compound: Rb3PaMn2O8
Source: Alexandria
Functional: GGA+U
Structure: optimized geometry

a = 6.090 Å, b = 6.090 Å, c = 8.117 Å
α = 90.00°, β = 90.00°, γ = 120.00°
Fractional positions:
1 O 0.834 0.166 0.658
2 Pa 0.000 0.000 0.500
3 O 0.333 0.667 0.054
4 O 0.834 0.667 0.658
5 Mn 0.333 0.667 0.263
6 Rb 0.667 0.333 0.283
7 O 0.667 0.333 0.946
8 O 0.166 0.333 0.342
9 O 0.333 0.166 0.658
10 O 0.667 0.834 0.342
11 Rb 0.000 0.000 0.000
12 Mn 0.667 0.333 0.737
13 O 0.166 0.834 0.342
14 Rb 0.333 0.667 0.717

Computed properties:
Its total energy is -6.71 eV per atom. As for the space group: P-3m1.